VASP calculation (PBE-GGA) on NaY3Ta after structural relaxation.

Values from the calculation:
Energy of formation from the pure elements (eV/atom): 0.59
Magnetic moment (μB/f.u.): 0.0
Fermi-level density of states (states/eV/f.u.): 6.9
Offset from the most stable computed form (eV/atom): 0.000
Final energy (eV per formula unit): -29.61

Geometry as CIF:
```
data_NaY3Ta
_symmetry_space_group_name_H-M 'P m -3 m'
_symmetry_Int_Tables_number 221
_symmetry_space_group_name_Hall '-P 4 2 3'
_cell_length_a 5.608
_cell_length_b 5.608
_cell_length_c 5.608
_cell_angle_alpha 90.00
_cell_angle_beta 90.00
_cell_angle_gamma 90.00
loop_
_atom_site_label
_atom_site_type_symbol
_atom_site_fract_x
_atom_site_fract_y
_atom_site_fract_z
Na1 Na 0.000 0.000 0.000
Y1 Y 0.000 0.500 0.500
Ta1 Ta 0.500 0.500 0.500
```